Record 1
Here is an optimized crystal structure of CuHgSe2 from Alexandria via LeMat-Bulk. Energies are from PBE.

a = 9.099 Å, b = 9.099 Å, c = 9.099 Å
α = 156.57°, β = 156.57°, γ = 33.37°
Sites, in units of the cell vectors:
Cu (0.500, 0.500, 0.000)
Hg (0.750, 0.250, 0.500)
Se (0.000, 0.000, 0.000)
Se (0.250, 0.750, 0.500)

Values from the calculation:
Uncorrected formation energy (eV/f.u.): 0.93
DOS at the Fermi energy (states/eV/cell): 3.88

=====

Record 2
Here is an optimized crystal structure of MnTe2P from Alexandria via LeMat-Bulk. Energies are from PBE.

a = 7.782 Å, b = 7.782 Å, c = 7.782 Å
α = 151.49°, β = 151.49°, γ = 40.76°
Sites, in units of the cell vectors:
Mn (0.500, 0.500, 0.000)
Te (0.000, 0.000, 0.000)
Te (0.250, 0.750, 0.500)
P (0.750, 0.250, 0.500)

Values from the calculation:
Uncorrected formation energy (eV/f.u.): 1.58
DOS at the Fermi energy (states/eV/cell): 2.28